Record 1
First-principles (GGA-PBE) data for a relaxed structure of IrRuSe4, as listed in Alexandria.

The symmetry is No. 216. For the offset from the most stable computed form, the calculation gives 1788.5 meV per atom. Its formation energy (no corrections) is 141 kJ per mole of atoms.

Cell: 5.4564 5.4564 5.4564 Å, 60.00 60.00 60.00°
Closest atoms and distances in Å follow each position.
Atoms (fractional coordinates):
Ir  0.0000  0.0000  0.0000  12 Se 3.20, 4 Ru 3.34
Ru  0.7500  0.7500  0.7500  12 Se 3.20, 4 Ir 3.34
Se  0.3743  0.3743  0.3743  6 Se 2.71-2.74
Se  0.3743  0.3743  0.8772  6 Se 2.71-2.74
Se  0.3743  0.8772  0.3743  6 Se 2.71-2.74
Se  0.8772  0.3743  0.3743  6 Se 2.71-2.74

***

Record 2
First-principles (GGA-PBE) data for a relaxed structure of MnCo3Ir, as listed in Alexandria.

The symmetry is No. 221. For the offset from the most stable computed form, the calculation gives 50.2 meV per atom. The formation energy is 1.349 eV per atom.

Cell: 4.5327 4.5327 4.5327 Å, 90.00 90.00 90.00°
Closest atoms and distances in Å follow each position.
Atoms (fractional coordinates):
Mn  0.0000  0.0000  0.0000  12 Co 3.21
Co  0.0000  0.5000  0.5000  2 Ir 2.27
Co  0.5000  0.0000  0.5000  2 Ir 2.27
Co  0.5000  0.5000  0.0000  2 Ir 2.27
Ir  0.5000  0.5000  0.5000  6 Co 2.27

***

Record 3
First-principles (GGA-PBE) data for a relaxed structure of K3GeTe3, as listed in Alexandria.

The symmetry is No. 12. For the offset from the most stable computed form, the calculation gives 77.9 meV per atom. Its formation energy (no corrections) is -71 kJ per mole of atoms.

Cell: 8.6807 8.6807 8.6150 Å, 96.61 96.61 112.98°
Closest atoms and distances in Å follow each position.
Atoms (fractional coordinates):
K  0.1708  0.8292  0.0000  6 Te 3.54-3.75
K  0.2450  0.7550  0.5000  4 Te 3.61-3.73, 2 Ge 3.96
K  0.3998  0.3998  0.1416  3 Te 3.34-3.57, 1 K 3.41
K  0.6002  0.6002  0.8584  3 Te 3.34-3.57, 1 K 3.41
K  0.7550  0.2450  0.5000  4 Te 3.61-3.73, 2 Ge 3.96
K  0.8292  0.1708  0.0000  6 Te 3.54-3.75
Ge  0.1615  0.1615  0.6429  4 Te 2.67-2.83
Ge  0.8385  0.8385  0.3571  4 Te 2.67-2.83
Te  0.1146  0.1146  0.3074  2 Ge 2.77-2.83
Te  0.1482  0.4472  0.7810  1 Ge 2.67
Te  0.4472  0.1482  0.7810  1 Ge 2.67
Te  0.5528  0.8518  0.2190  1 Ge 2.67
Te  0.8518  0.5528  0.2190  1 Ge 2.67
Te  0.8854  0.8854  0.6926  2 Ge 2.77-2.83

***

Record 4
First-principles (GGA-PBE) data for a relaxed structure of RbTa3Te, as listed in Alexandria.

The symmetry is No. 221. For the offset from the most stable computed form, the calculation gives 0.0 meV per atom. Its formation energy (no corrections) is 190 kJ per mole of atoms.

Cell: 5.2055 5.2055 5.2055 Å, 90.00 90.00 90.00°
Closest atoms and distances in Å follow each position.
Atoms (fractional coordinates):
Rb  0.0000  0.0000  0.0000  12 Ta 3.68
Ta  0.0000  0.5000  0.5000  2 Te 2.60
Ta  0.5000  0.0000  0.5000  2 Te 2.60
Ta  0.5000  0.5000  0.0000  2 Te 2.60
Te  0.5000  0.5000  0.5000  6 Ta 2.60

***

Record 5
First-principles (GGA-PBE) data for a relaxed structure of ErScZnOs, as listed in Alexandria.

The symmetry is No. 216. The formation energy is -0.351 eV per atom.

Cell: 4.7471 4.7471 4.7471 Å, 60.00 60.00 60.00°
Closest atoms and distances in Å follow each position.
Atoms (fractional coordinates):
Er  0.0000  0.0000  0.0000  4 Os 2.91, 4 Zn 2.91
Sc  0.5000  0.5000  0.5000  4 Os 2.91, 4 Zn 2.91
Zn  0.7500  0.7500  0.7500  4 Er 2.91, 4 Sc 2.91
Os  0.2500  0.2500  0.2500  4 Er 2.91, 4 Sc 2.91

***

Record 6
First-principles (GGA-PBE) data for a relaxed structure of AgBrN3, as listed in Alexandria.

The symmetry is No. 221. Its formation energy (no corrections) is 254 kJ per mole of atoms.

Cell: 4.2541 4.2541 4.2541 Å, 90.00 90.00 90.00°
Closest atoms and distances in Å follow each position.
Atoms (fractional coordinates):
Ag  0.0000  0.0000  0.0000  6 N 2.13
Br  0.5000  0.5000  0.5000  12 N 3.01
N  0.0000  0.0000  0.5000  2 Ag 2.13
N  0.0000  0.5000  0.0000  2 Ag 2.13
N  0.5000  0.0000  0.0000  2 Ag 2.13

***

Record 7
First-principles (GGA-PBE) data for a relaxed structure of Mg13Ir2, as listed in Alexandria.

The symmetry is No. 2. The formation energy is -0.144 eV per atom.

Cell: 5.9435 7.3577 8.1147 Å, 67.79 89.75 77.62°
Closest atoms and distances in Å follow each position.
Atoms (fractional coordinates):
Mg  0.0000  0.0000  0.0000  2 Ir 2.61
Mg  0.0349  0.5807  0.6356  2 Ir 2.70-2.74, 2 Mg 2.94-2.99
Mg  0.1752  0.9950  0.6518  1 Ir 2.75, 2 Mg 3.02
Mg  0.2243  0.5750  0.0333  1 Ir 2.83, 3 Mg 3.03-3.07
Mg  0.2981  0.0828  0.2601  1 Ir 2.73, 2 Mg 3.02
Mg  0.4218  0.2326  0.8590  1 Ir 2.70, 2 Mg 3.02
Mg  0.4776  0.3472  0.4332  2 Ir 2.72-2.76, 2 Mg 2.90-2.99
Mg  0.5224  0.6528  0.5668  2 Ir 2.72-2.76, 2 Mg 2.90-2.99
Mg  0.5782  0.7674  0.1410  1 Ir 2.70, 2 Mg 3.02
Mg  0.7019  0.9172  0.7399  1 Ir 2.73, 2 Mg 3.02
Mg  0.7757  0.4250  0.9667  1 Ir 2.83, 3 Mg 3.03-3.07
Mg  0.8248  0.0050  0.3482  1 Ir 2.75, 2 Mg 3.02
Mg  0.9651  0.4193  0.3644  2 Ir 2.70-2.74, 2 Mg 2.94-2.99
Ir  0.1866  0.7258  0.3077  9 Mg 2.61-2.83
Ir  0.8134  0.2742  0.6923  9 Mg 2.61-2.83

***

Record 8
First-principles (GGA-PBE) data for a relaxed structure of ErTl2Te4As, as listed in Alexandria.

The symmetry is No. 10. Its formation energy (no corrections) is -54 kJ per mole of atoms.

Cell: 7.5859 4.3611 8.4544 Å, 90.00 107.46 90.00°
Closest atoms and distances in Å follow each position.
Atoms (fractional coordinates):
Er  0.0000  0.0000  0.0000  6 Te 3.06-3.07
Tl  0.0000  0.5000  0.5000  6 Te 3.52-3.53
Tl  0.5000  0.0000  0.5000  6 Te 3.42-3.44
Te  0.2474  0.5000  0.2067  1 As 2.96, 2 Er 3.06
Te  0.2766  0.0000  0.7996  2 As 2.96, 1 Er 3.07
Te  0.7234  0.0000  0.2004  2 As 2.96, 1 Er 3.07
Te  0.7526  0.5000  0.7933  1 As 2.96, 2 Er 3.06
As  0.5000  0.5000  0.0000  6 Te 2.96

***

Record 9
First-principles (GGA-PBE) data for a relaxed structure of KScMn2, as listed in Alexandria.

The symmetry is No. 12. For the offset from the most stable computed form, the calculation gives 207.7 meV per atom. The formation energy is 0.650 eV per atom.

Cell: 4.9294 4.9294 7.5140 Å, 94.47 94.47 35.21°
Closest atoms and distances in Å follow each position.
Atoms (fractional coordinates):
K  0.0000  0.0000  0.0000  2 K 2.98
Sc  0.5000  0.5000  0.5000  6 Mn 2.75-2.83, 2 Sc 2.98
Mn  0.2387  0.2387  0.6413  2 Mn 2.62, 3 Sc 2.75-2.83
Mn  0.7613  0.7613  0.3587  2 Mn 2.62, 3 Sc 2.75-2.83

***

Record 10
First-principles (GGA-PBE) data for a relaxed structure of PmErGaSn, as listed in Alexandria.

The symmetry is No. 216. For the offset from the most stable computed form, the calculation gives 153.6 meV per atom. The formation energy is -0.540 eV per atom.

Cell: 5.2634 5.2634 5.2634 Å, 60.00 60.00 60.00°
Closest atoms and distances in Å follow each position.
Atoms (fractional coordinates):
Pm  0.0000  0.0000  0.0000  4 Sn 3.22, 4 Ga 3.22
Er  0.5000  0.5000  0.5000  4 Sn 3.22, 4 Ga 3.22
Ga  0.2500  0.2500  0.2500  4 Er 3.22, 4 Pm 3.22
Sn  0.7500  0.7500  0.7500  4 Er 3.22, 4 Pm 3.22

***

Record 11
First-principles (GGA-PBE) data for a relaxed structure of Hf2InP2, as listed in Alexandria.

The symmetry is No. 127. The formation energy is -0.614 eV per atom.

Cell: 7.3936 7.3936 3.3617 Å, 90.00 90.00 90.00°
Closest atoms and distances in Å follow each position.
Atoms (fractional coordinates):
Hf  0.1495  0.3505  0.0000  6 P 2.71-2.78
Hf  0.3505  0.8505  0.0000  6 P 2.71-2.78
Hf  0.6495  0.1495  0.0000  6 P 2.71-2.78
Hf  0.8505  0.6495  0.0000  6 P 2.71-2.78
In  0.0000  0.0000  0.5000  4 P 2.86
In  0.5000  0.5000  0.5000  4 P 2.86
P  0.1383  0.6383  0.5000  6 Hf 2.71-2.78, 2 In 2.86, 1 P 2.89
P  0.3617  0.1383  0.5000  6 Hf 2.71-2.78, 2 In 2.86, 1 P 2.89
P  0.6383  0.8617  0.5000  6 Hf 2.71-2.78, 2 In 2.86, 1 P 2.89
P  0.8617  0.3617  0.5000  6 Hf 2.71-2.78, 2 In 2.86, 1 P 2.89

***

Record 12
First-principles (GGA-PBE) data for a relaxed structure of LaErAl3, as listed in Alexandria.

The symmetry is No. 63. The formation energy is -0.419 eV per atom.

Cell: 13.5658 13.5658 4.4036 Å, 90.00 90.00 162.07°
Closest atoms and distances in Å follow each position.
Atoms (fractional coordinates):
La  0.0749  0.9251  0.7500  12 Al 3.31-3.46
La  0.9251  0.0749  0.2500  12 Al 3.31-3.46
Er  0.2068  0.7932  0.2500  7 Al 3.10-3.16
Er  0.7932  0.2068  0.7500  7 Al 3.10-3.16
Al  0.3230  0.6770  0.2500  2 Al 2.65
Al  0.3777  0.6223  0.7500  3 Al 2.62-2.65
Al  0.4754  0.5246  0.7500  3 Al 2.57-2.62
Al  0.5246  0.4754  0.2500  3 Al 2.57-2.62
Al  0.6223  0.3777  0.2500  3 Al 2.62-2.65
Al  0.6770  0.3230  0.7500  2 Al 2.65

***

Record 13
First-principles (GGA-PBE) data for a relaxed structure of NpNb2Pd, as listed in Alexandria.

The symmetry is No. 123. For the offset from the most stable computed form, the calculation gives 0.0 meV per atom. The formation energy is 0.072 eV per atom.

Cell: 4.9408 4.9408 2.9482 Å, 90.00 90.00 90.00°
Closest atoms and distances in Å follow each position.
Atoms (fractional coordinates):
Np  0.0000  0.0000  0.0000  8 Nb 2.88, 2 Np 2.95
Nb  0.0000  0.5000  0.5000  4 Np 2.88, 4 Pd 2.88, 2 Nb 2.95
Nb  0.5000  0.0000  0.5000  4 Np 2.88, 4 Pd 2.88, 2 Nb 2.95
Pd  0.5000  0.5000  0.0000  8 Nb 2.88, 2 Pd 2.95